Entry from Alexandria: a geometry-optimized Cs4HgAu2I structure (PBE-GGA).

Output
The calculation puts the raw formation energy at -4.5 eV/f.u. Its density is 4.72 g/cm³. Its magnetization is 0.00 μB per cell. Its space group is P2/m, No. 10. Its volume is 55.07 Å³/atom.

Cell: 9.2731 5.2336 9.5640 Å, 90.00 108.34 90.00°
With the nearest neighbours (Å) after each atom.
Positions (direct):
1 Cs 0.2323 0.0000 0.2236  3 Au 3.63-3.75, 1 I 3.90, 2 Hg 3.98
2 Cs 0.2511 0.5000 0.7738  3 Au 3.64-3.70, 2 I 3.91, 1 Hg 4.00
3 Cs 0.7489 0.5000 0.2262  3 Au 3.64-3.70, 2 I 3.91, 1 Hg 4.00
4 Cs 0.7677 0.0000 0.7764  3 Au 3.63-3.75, 1 I 3.90, 2 Hg 3.98
5 Hg 0.5000 0.5000 0.5000  6 Cs 3.98-4.00
6 Au 0.0000 0.5000 0.0000  6 Cs 3.63-3.64
7 Au 0.5000 0.0000 0.0000  6 Cs 3.70-3.75
8 I 0.0000 0.0000 0.5000  6 Cs 3.90-3.91